Computed, not measured: a relaxed Hf2Zn2Ga crystal at the PBEsol level of DFT.

a = 4.1105 Å, b = 6.4168 Å, c = 6.4168 Å
α = 90.00°, β = 90.00°, γ = 90.00°
With the nearest neighbours (Å) after each atom.
Fractional positions:
Hf 0.5000 0.6683 0.8317  6 Zn 2.74-2.83, 1 Hf 3.05
Hf 0.5000 0.8317 0.3317  6 Zn 2.74-2.83, 1 Hf 3.05
Hf 0.5000 0.1683 0.6683  6 Zn 2.74-2.83, 1 Hf 3.05
Hf 0.5000 0.3317 0.1683  6 Zn 2.74-2.83, 1 Hf 3.05
Ga 0.0000 0.5000 0.5000  4 Zn 2.51
Ga 0.0000 0.0000 0.0000  4 Zn 2.51
Zn 0.0000 0.8680 0.6320  1 Zn 2.40, 2 Ga 2.51
Zn 0.0000 0.1320 0.3680  1 Zn 2.40, 2 Ga 2.51
Zn 0.0000 0.6320 0.1320  1 Zn 2.40, 2 Ga 2.51
Zn 0.0000 0.3680 0.8680  1 Zn 2.40, 2 Ga 2.51

Total energy in eV/atom: -5.8140
DFT formation energy in eV/atom: -0.3121